A PBEsol-optimized structure of BaNbIn3. Source: Alexandria via LeMat-Bulk, functional SCAN.

DFT formation energy in kJ per mole of atoms: 160.11

Cell lengths 5.9190, 5.9190, 5.9190 Å; angles 90.00, 90.00, 90.00 degrees
Last column: nearest neighbours and their distance in Å.
Atoms (fractional coordinates):
Nb 0.5000 0.5000 0.5000  12 In 4.19
Ba 0.0000 0.0000 0.0000  6 In 2.96
In 0.0000 0.5000 0.0000  2 Ba 2.96
In 0.0000 0.0000 0.5000  2 Ba 2.96
In 0.5000 0.0000 0.0000  2 Ba 2.96

A PBEsol-optimized structure of Ba2NdInTe5. Source: Alexandria via LeMat-Bulk, functional SCAN.

ΔE_f (raw) in eV per formula unit: -13.25

Cell lengths 4.5649, 10.3512, 13.9748 Å; angles 90.00, 90.00, 102.74 degrees
Last column: nearest neighbours and their distance in Å.
Atoms (fractional coordinates):
Ba 0.8716 0.7431 0.8153  7 Te 3.46-3.73
Ba 0.1284 0.2569 0.3153  7 Te 3.46-3.73
Ba 0.8819 0.7638 0.1821  8 Te 3.44-3.77
Ba 0.1181 0.2362 0.6821  8 Te 3.44-3.77
Nd 0.7902 0.5805 0.5153  6 Te 3.05-3.33
Nd 0.2098 0.4195 0.0153  6 Te 3.05-3.33
In 0.5564 0.1128 0.9377  4 Te 2.75-2.90
In 0.4436 0.8872 0.4377  4 Te 2.75-2.90
Te 0.6396 0.2791 0.5006  1 Nd 3.05
Te 0.3604 0.7209 0.0006  1 Nd 3.05
Te 0.7080 0.4160 0.1653  2 Nd 3.10
Te 0.2920 0.5840 0.6653  2 Nd 3.10
Te 0.6889 0.3777 0.8570  1 In 2.90, 2 Nd 3.21
Te 0.3111 0.6223 0.3570  1 In 2.90, 2 Nd 3.21
Te 0.4961 0.9922 0.7612  1 In 2.75
Te 0.5039 0.0078 0.2612  1 In 2.75
Te 0.9526 0.9052 0.5574  2 In 2.84
Te 0.0474 0.0948 0.0574  2 In 2.84

A PBEsol-optimized structure of BaInNi2. Source: Alexandria via LeMat-Bulk, functional SCAN.

DFT formation energy in kJ per mole of atoms: 39.68

Cell lengths 3.2083, 4.9090, 4.9090 Å; angles 90.00, 90.00, 90.00 degrees
Last column: nearest neighbours and their distance in Å.
Atoms (fractional coordinates):
Ba 0.5000 0.5000 0.5000  8 Ni 2.93, 2 Ba 3.21
In 0.5000 0.0000 0.0000  8 Ni 2.93, 2 In 3.21
Ni 0.0000 0.0000 0.5000  4 Ba 2.93, 4 In 2.93, 2 Ni 3.21
Ni 0.0000 0.5000 0.0000  4 Ba 2.93, 4 In 2.93, 2 Ni 3.21

A PBEsol-optimized structure of BaInNi2. Source: Alexandria via LeMat-Bulk, functional SCAN.

DFT formation energy in kJ per mole of atoms: 52.61

Cell lengths 4.0199, 4.0199, 5.7682 Å; angles 110.39, 110.39, 90.00 degrees
Last column: nearest neighbours and their distance in Å.
Atoms (fractional coordinates):
Ba 0.5000 0.5000 0.0000  4 Ni 2.84
In 0.2500 0.7500 0.5000  4 Ni 2.84
Ni 0.0000 0.0000 0.0000  4 Ba 2.84
Ni 0.7500 0.2500 0.5000  4 In 2.84

A PBEsol-optimized structure of Ba3InNi. Source: Alexandria via LeMat-Bulk, functional SCAN.

DFT formation energy in kJ per mole of atoms: -4.99

Cell lengths 5.7955, 5.7955, 5.7955 Å; angles 90.00, 90.00, 90.00 degrees
Last column: nearest neighbours and their distance in Å.
Atoms (fractional coordinates):
Ni 0.0000 0.0000 0.0000  6 Ba 2.90
Ba 0.0000 0.5000 0.0000  2 Ni 2.90
Ba 0.0000 0.0000 0.5000  2 Ni 2.90
Ba 0.5000 0.0000 0.0000  2 Ni 2.90
In 0.5000 0.5000 0.5000  12 Ba 4.10

A PBEsol-optimized structure of BaInNi2. Source: Alexandria via LeMat-Bulk, functional SCAN.

DFT formation energy in kJ per mole of atoms: -8.87

Cell lengths 4.1470, 4.1470, 6.5401 Å; angles 71.52, 71.52, 60.00 degrees
Last column: nearest neighbours and their distance in Å.
Atoms (fractional coordinates):
Ni 0.9804 0.9804 0.0588  3 Ni 2.40, 3 In 2.63
Ni 0.3094 0.3094 0.0718  3 Ni 2.40, 3 In 2.67
Ba 0.5196 0.5196 0.4412  6 Ni 3.28-3.34, 4 In 3.42-3.58
In 0.7070 0.7070 0.8789  6 Ni 2.63-2.67

A PBEsol-optimized structure of Ba2InNi. Source: Alexandria via LeMat-Bulk, functional SCAN.

DFT formation energy in kJ per mole of atoms: 3.79

Cell lengths 4.0207, 5.5946, 5.5946 Å; angles 90.00, 90.00, 90.00 degrees
Last column: nearest neighbours and their distance in Å.
Atoms (fractional coordinates):
Ba 0.0000 0.0000 0.5000  4 Ni 3.44, 4 In 3.44
Ba 0.0000 0.5000 0.0000  4 In 3.44, 4 Ni 3.44
In 0.5000 0.5000 0.5000  8 Ba 3.44
Ni 0.5000 0.0000 0.0000  8 Ba 3.44

A PBEsol-optimized structure of BaSc2InNi. Source: Alexandria via LeMat-Bulk, functional SCAN.

DFT formation energy in kJ per mole of atoms: -13.34

Cell lengths 5.0240, 5.0240, 5.0218 Å; angles 90.00, 90.00, 90.00 degrees
Last column: nearest neighbours and their distance in Å.
Atoms (fractional coordinates):
Sc 0.0000 0.5000 0.0000  2 Ni 2.51
Sc 0.5000 0.0000 0.0000  2 Ni 2.51
Ni 0.0000 0.0000 0.0000  2 In 2.51, 4 Sc 2.51
Ba 0.5000 0.5000 0.5000  8 Sc 3.55, 4 In 3.55
In 0.0000 0.0000 0.5000  2 Ni 2.51

What are the magnetic moment values for these records? In order: 5.00; 0.00; 0.00; 0.00; 0.00; 0.66; 0.00; 0.00 μB per cell.
What are the electronic total energy values for these records? In order: -164.5; -711.1; -103.6; -103.1; -168.5; -105.7; -128.5; -118.3 eV for the cell shown.